[1]
First-principles (GGA-PBE) data for an optimized crystal structure of Tm3Ta5H12, as listed in the Alexandria database.

Cell and atoms, written as extended XYZ:
```
80
Lattice="10.127 0.000 0.000 -3.376 9.548 0.000 -3.376 -4.774 8.269" Properties=species:S:1:pos:R:3 pbc="T T T"
Tm 5.907 2.984 1.034
Tm 5.907 6.564 1.034
Tm -0.844 4.177 5.168
Tm 0.844 -0.597 3.101
Tm 7.595 0.000 2.067
Tm 0.844 4.774 2.067
Tm 2.532 0.000 6.201
Tm -4.220 4.774 6.201
Tm 2.532 5.371 5.168
Tm 4.220 0.597 3.101
Tm -2.532 -1.790 7.235
Tm -2.532 1.790 7.235
Ta -0.844 2.387 2.067
Ta -1.688 4.774 0.000
Ta 0.000 0.000 0.000
Ta 2.532 1.790 1.034
Ta 3.376 -2.387 4.134
Ta 3.376 4.774 0.000
Ta -2.532 5.371 3.101
Ta 4.220 -2.984 7.235
Ta 4.220 4.177 3.101
Ta 0.844 -2.387 6.201
Ta 2.532 7.161 2.067
Ta 1.688 2.387 4.134
Ta 5.063 0.000 0.000
Ta -1.688 -2.387 4.134
Ta -0.844 0.597 5.168
Ta -0.844 7.757 1.034
Ta -3.376 2.387 4.134
Ta 5.907 -0.597 5.168
Ta 0.844 2.984 7.235
Ta 4.220 2.387 6.201
H 6.606 1.052 0.442
H 0.145 3.295 3.444
H 7.401 2.110 2.350
H 4.414 1.407 1.132
H 1.211 3.672 5.477
H 7.068 4.795 1.342
H -0.649 5.477 3.482
H -2.726 8.141 1.132
H 0.477 5.876 5.477
H 4.746 4.752 1.342
H 5.208 2.530 3.003
H 5.208 8.496 0.442
H -2.898 4.192 4.576
H 2.005 3.601 0.653
H -3.521 7.018 3.003
H 1.833 -1.478 4.824
H -0.477 0.520 1.784
H 2.005 5.926 0.690
H 4.414 7.437 2.350
H -0.317 3.622 0.690
H -2.165 5.294 6.484
H 2.337 4.070 3.482
H 4.586 5.356 4.576
H 3.693 -1.173 7.616
H 1.039 0.703 4.787
H -1.211 -0.582 3.692
H -0.317 5.947 0.653
H -1.039 -2.663 5.919
H 5.541 -0.520 1.784
H 3.693 1.152 7.579
H 1.371 -1.152 7.579
H 1.543 6.252 3.444
H 3.853 4.254 6.484
H 6.896 -2.244 5.266
H 6.274 0.582 3.692
H -1.833 -3.722 7.827
H 1.371 1.173 7.616
H 2.898 -1.102 2.792
H -1.371 0.021 6.926
H -1.833 2.244 5.266
H 6.102 -3.367 7.137
H 4.025 -0.703 4.787
H -1.039 3.367 7.137
H -3.693 -0.021 6.926
H 2.165 1.102 2.792
H -4.025 2.663 5.919
H 3.231 1.478 4.824
H -3.231 3.722 7.827
```

Properties
- V (Å³/f.u.) = 200
- total magnetic moment (Bohr magnetons per cell) = 0.000
- electronic total energy (eV per atom) = -5.91

=====

[2]
First-principles (GGA-PBE) data for an optimized crystal structure of Pd3Pb2S2, as listed in the Alexandria database.

Cell and atoms, written as extended XYZ:
```
14
Lattice="7.313 0.000 0.000 -2.438 6.895 0.000 -2.438 -3.448 5.971" Properties=species:S:1:pos:R:3 pbc="T T T"
Pd 4.801 -0.967 4.479
Pd 2.512 5.981 1.402
Pd -2.512 1.776 5.880
Pd 2.512 0.967 1.493
Pd -0.075 2.638 1.584
Pd 0.075 -0.053 3.077
Pb 2.527 3.448 0.000
Pb 2.408 -1.766 3.058
Pb 2.408 3.406 5.899
Pb -2.467 1.808 2.986
S 1.344 -3.270 5.664
S 1.344 1.901 3.293
S -3.531 4.816 2.986
S 5.718 3.448 0.000
```

Properties
- relative energy among the computed polymorphs (meV per atom) = 0
- V (Å³/f.u.) = 151
- energy relative to the elements, uncorrected (eV/atom) = -0.417
- total magnetic moment (Bohr magnetons per cell) = 0.000

=====

[3]
First-principles (GGA-PBE) data for an optimized crystal structure of Na2Cu2AsO6, as listed in the Alexandria database.

Cell and atoms, written as extended XYZ:
```
11
Lattice="5.114 0.000 0.000 -2.557 4.429 0.000 0.000 0.000 5.531" Properties=species:S:1:pos:R:3 pbc="T T T"
Na 2.557 1.476 2.766
Na 0.000 2.953 2.765
Cu 0.000 2.953 5.531
Cu 2.557 1.476 0.000
As 0.000 0.000 0.000
O 4.331 1.357 4.484
O 1.774 3.072 4.484
O 1.567 0.000 4.484
O -1.774 3.072 1.047
O 0.783 1.357 1.047
O 0.990 4.429 1.047
```

Properties
- V (Å³/f.u.) = 125
- energy relative to the elements, uncorrected (eV/atom) = -1.060
- total magnetic moment (Bohr magnetons per cell) = 3.016

=====

[4]
First-principles (GGA-PBE) data for an optimized crystal structure of FeNi2Br, as listed in the Alexandria database.

Cell and atoms, written as extended XYZ:
```
4
Lattice="4.667 -0.035 0.000 1.621 4.377 0.000 -3.144 -2.171 2.681" Properties=species:S:1:pos:R:3 pbc="T T T"
Br 0.810 2.188 1.340
Fe 2.333 -0.018 1.340
Ni 0.000 0.000 0.000
Ni 3.144 2.171 0.000
```

Properties
- relative energy among the computed polymorphs (meV per atom) = 384
- V (Å³/f.u.) = 55
- energy relative to the elements, uncorrected (eV/atom) = 0.657
- total magnetic moment (Bohr magnetons per cell) = 4.342

=====

[5]
First-principles (GGA-PBE) data for an optimized crystal structure of Mg2Sc5PtRh2, as listed in the Alexandria database.

Cell and atoms, written as extended XYZ:
```
20
Lattice="-0.265 1.839 2.812 5.615 -7.725 5.580 9.489 5.124 -2.455" Properties=species:S:1:pos:R:3 pbc="T T T"
Mg 5.469 -4.321 3.341
Mg 9.635 1.720 -0.215
Mg 4.062 0.298 0.189
Mg 11.042 -2.898 2.937
Sc 1.606 -0.260 2.341
Sc 13.233 -0.502 3.597
Sc 7.863 4.519 -0.193
Sc 7.892 -2.243 4.231
Sc 6.976 -5.281 6.131
Sc 6.947 1.482 1.706
Sc 9.662 0.113 2.858
Sc 5.177 -0.874 3.080
Sc 2.675 -2.943 4.196
Sc 4.612 3.481 0.179
Pt 0.000 0.000 0.000
Pt 7.552 -1.300 1.563
Rh 6.746 2.218 -0.813
Rh 8.358 -4.818 3.938
Rh 11.783 -0.441 1.400
Rh 3.321 -2.160 1.725
```

Properties
- V (Å³/f.u.) = 206
- DFT formation energy (kJ/mol of formula units) = -638.7
- total magnetic moment (Bohr magnetons per cell) = 0.000

=====

[6]
First-principles (GGA-PBE) data for an optimized crystal structure of MnBeBr2N, as listed in the Alexandria database.

Cell and atoms, written as extended XYZ:
```
5
Lattice="-0.041 1.770 4.344 -4.869 0.884 -0.406 -0.918 -4.263 1.729" Properties=species:S:1:pos:R:3 pbc="T T T"
Be 0.000 0.000 0.000
Mn -2.435 0.442 -0.203
Br -0.459 -2.131 0.864
Br -0.020 0.885 2.172
N -2.914 -0.804 2.833
```

Properties
- V (Å³/f.u.) = 109
- energy relative to the elements, uncorrected (eV/atom) = 1.194
- total magnetic moment (Bohr magnetons per cell) = 2.051